# 1
A relaxed KHgF3 crystal. Source: the Alexandria database, functional PBE-GGA.

abc: 3.8252 5.9922 7.4884
angles: 90.00 90.00 90.00
Last column: nearest neighbours and their distance in Å.
Element x y z (fractional)
K (0.2500, 0.2500, 0.1313)  6 F 2.60-2.89
K (0.7500, 0.7500, 0.8687)  6 F 2.60-2.89
Hg (0.2500, 0.7500, 0.3988)  3 F 2.21-2.34
Hg (0.7500, 0.2500, 0.6012)  3 F 2.21-2.34
F (0.2500, 0.5161, 0.6488)  3 Hg 2.34-2.52
F (0.2500, 0.7500, 0.1035)  1 Hg 2.21
F (0.2500, 0.9839, 0.6488)  3 Hg 2.34-2.52
F (0.7500, 0.0161, 0.3512)  3 Hg 2.34-2.52
F (0.7500, 0.2500, 0.8965)  1 Hg 2.21
F (0.7500, 0.4839, 0.3512)  3 Hg 2.34-2.52

Output
The final energy is -3.3903 eV per atom. For the formation energy (no corrections), the calculation gives -1.988 eV/atom. The value obtained for the magnetic moment is 0.0 μB per cell. Its crystal system is orthorhombic.

---

# 2
A relaxed KHg2F5 crystal. Source: the Alexandria database, functional PBE-GGA.

abc: 6.9550 6.9550 6.9550
angles: 149.60 128.93 60.60
Last column: nearest neighbours and their distance in Å.
Element x y z (fractional)
K (0.0000, 0.0000, 0.0000)  10 F 2.95-3.00
Hg (0.3134, 0.8134, 0.5000)  7 F 2.24-2.47
Hg (0.6866, 0.1866, 0.5000)  7 F 2.24-2.47
F (0.0760, 0.3456, 0.7305)  3 Hg 2.36-2.47
F (0.3849, 0.6544, 0.7305)  3 Hg 2.36-2.47
F (0.5000, 0.0000, 0.5000)  2 Hg 2.24
F (0.6151, 0.3456, 0.2695)  3 Hg 2.36-2.47
F (0.9240, 0.6544, 0.2695)  3 Hg 2.36-2.47

Output
The final energy is -3.1439 eV per atom. For the formation energy (no corrections), the calculation gives -1.762 eV/atom. For the polymorph energy (0 for the lowest one), the calculation gives 21 meV per atom. The value obtained for the magnetic moment is 0.0 μB per cell. Its crystal system is orthorhombic.

---

no.,V (A^3/atom)
1,17.164
2,16.413